(1)
First-principles (PBE-GGA) data for KTl2Co after structural relaxation, as listed in Alexandria via LeMat-Bulk.

Computed properties:
magnetization	1.04	μB per formula unit
total energy	-2.93	eV per atom
formation enthalpy at 0 K	304.8	meV/atom
space group	P4/mmm (123)

Cell: 3.4093 3.4078 8.5910 Å, 90.00 90.00 90.00°
With the nearest neighbours (Å) after each atom.
Sites, in units of the cell vectors:
Co 0.5000 0.5000 0.2500  8 Tl 2.88
K 0.5000 0.5000 0.7500  4 K 3.41, 8 Tl 3.63
Tl 0.0000 0.0000 0.0659  4 Co 2.88, 1 Tl 3.16
Tl 0.0000 0.0000 0.4341  4 Co 2.88, 1 Tl 3.16

(2)
First-principles (PBE-GGA) data for TlZnAg2 after structural relaxation, as listed in Alexandria via LeMat-Bulk.

Computed properties:
magnetization	0.00	μB per formula unit
total energy	-2.21	eV per atom
formation enthalpy at 0 K	127.4	meV/atom
space group	Immm (71)

Cell: 5.7171 5.7171 5.7171 Å, 147.73 126.66 63.73°
With the nearest neighbours (Å) after each atom.
Sites, in units of the cell vectors:
Tl 0.7500 0.2500 0.5000  4 Zn 3.02, 4 Ag 3.09, 2 Tl 3.18
Zn 0.2500 0.7500 0.5000  4 Ag 2.72, 4 Tl 3.02
Ag 0.4771 0.4771 0.0000  2 Zn 2.72
Ag 0.0229 0.0229 0.0000  2 Zn 2.72

(3)
First-principles (PBE-GGA) data for Ge2SbPt2 after structural relaxation, as listed in Alexandria via LeMat-Bulk.

Computed properties:
uncorrected formation energy	-187	meV/atom
offset from the most stable computed form	0.0000	eV/atom
magnetization	0.00	μB per formula unit
total energy	-5.27	eV per atom
space group	I4/mmm (139)

Cell: 4.0263 4.0263 6.5878 Å, 72.21 72.21 90.00°
With the nearest neighbours (Å) after each atom.
Sites, in units of the cell vectors:
Ge 0.2500 0.7500 0.5000  4 Pt 2.56, 4 Ge 2.85
Ge 0.7500 0.2500 0.5000  4 Pt 2.56, 4 Ge 2.85
Pt 0.6164 0.6164 0.7671  4 Ge 2.56, 1 Pt 2.77
Pt 0.3836 0.3836 0.2329  4 Ge 2.56, 1 Pt 2.77
Sb 0.0000 0.0000 0.0000  8 Pt 3.17

(4)
First-principles (PBE-GGA) data for Ba2AlTe after structural relaxation, as listed in Alexandria via LeMat-Bulk.

Computed properties:
uncorrected formation energy	-563	meV/atom
offset from the most stable computed form	0.1681	eV/atom
magnetization	0.00	μB per formula unit
total energy	-3.25	eV per atom
space group	Fm-3m (225)

Cell: 5.9731 5.9731 5.9731 Å, 60.00 60.00 60.00°
With the nearest neighbours (Å) after each atom.
Sites, in units of the cell vectors:
Al 0.0000 0.0000 0.0000  8 Ba 3.66
Ba 0.2500 0.2500 0.2500  4 Te 3.66, 4 Al 3.66
Ba 0.7500 0.7500 0.7500  4 Te 3.66, 4 Al 3.66
Te 0.5000 0.5000 0.5000  8 Ba 3.66

(5)
First-principles (PBE-GGA) data for Li3B2SbO6 after structural relaxation, as listed in Alexandria via LeMat-Bulk.

Computed properties:
uncorrected formation energy	-2093	meV/atom
offset from the most stable computed form	0.0000	eV/atom
magnetization	0.00	μB per formula unit
total energy	-6.51	eV per atom
space group	P-1 (2)

Cell: 4.9194 7.6997 8.4115 Å, 63.09 85.71 85.58°
With the nearest neighbours (Å) after each atom.
Sites, in units of the cell vectors:
B 0.8200 0.1294 0.5611  3 O 1.35-1.47
B 0.6852 0.3117 0.9040  3 O 1.34-1.42
B 0.3148 0.6883 0.0960  3 O 1.34-1.42
B 0.1800 0.8706 0.4389  3 O 1.35-1.47
O 0.9304 0.8098 0.4267  1 B 1.37
O 0.6042 0.6683 0.1001  1 B 1.42
O 0.3958 0.3317 0.8999  1 B 1.42
O 0.8248 0.4803 0.7842  1 B 1.42
O 0.1752 0.5197 0.2158  1 B 1.42
O 0.1916 0.8572 0.9864  1 B 1.34
O 0.2998 0.7559 0.6134  1 B 1.47
O 0.7002 0.2441 0.3866  1 B 1.47
O 0.8084 0.1428 0.0136  1 B 1.34
O 0.0696 0.1902 0.5733  1 B 1.37
O 0.6852 0.9830 0.6934  1 B 1.35
O 0.3148 0.0170 0.3066  1 B 1.35
Li 0.1984 0.0775 0.0646  4 O 1.97-2.08
Li 0.6947 0.7600 0.6433  4 O 1.94-2.01
Li 0.8016 0.9225 0.9354  4 O 1.97-2.08
Li 0.3053 0.2400 0.3567  4 O 1.94-2.01
Li 0.7052 0.0398 0.2671  3 O 1.93-1.98
Li 0.2948 0.9602 0.7329  3 O 1.93-1.98
Sb 0.2011 0.4782 0.6688  3 O 2.02-2.06
Sb 0.7989 0.5218 0.3312  3 O 2.02-2.06

(6)
First-principles (PBE-GGA) data for Hf2CuPd after structural relaxation, as listed in Alexandria via LeMat-Bulk.

Computed properties:
magnetization	0.00	μB per formula unit
total energy	-7.47	eV per atom
formation enthalpy at 0 K	-167.4	meV/atom
space group	Cm (8)

Cell: 3.1974 4.7822 5.4807 Å, 79.51 73.04 70.47°
With the nearest neighbours (Å) after each atom.
Sites, in units of the cell vectors:
Hf 0.7396 0.3775 0.1432  3 Pd 2.69-2.76, 3 Cu 2.88-2.90
Hf 0.8647 0.7470 0.5236  3 Cu 2.69-2.71, 3 Pd 2.82-2.99
Cu 0.5038 0.2930 0.6993  6 Hf 2.69-2.90, 3 Pd 2.81-2.92
Pd 0.1022 0.8445 0.9512  6 Hf 2.69-2.99, 3 Cu 2.81-2.92

(7)
First-principles (PBE-GGA) data for AcGd2Th after structural relaxation, as listed in Alexandria via LeMat-Bulk.

Computed properties:
offset from the most stable computed form	0.0462	eV/atom
magnetization	14.32	μB per formula unit
total energy	-9.83	eV per atom
formation enthalpy at 0 K	88.7	meV/atom
space group	P4/mmm (123)

Cell: 5.1199 5.2298 5.2298 Å, 90.00 90.00 90.00°
With the nearest neighbours (Å) after each atom.
Sites, in units of the cell vectors:
Ac 0.5000 0.0000 0.0000  8 Gd 3.66, 4 Th 3.70
Gd 0.0000 0.0000 0.5000  4 Th 3.66, 4 Ac 3.66, 4 Gd 3.70
Gd 0.0000 0.5000 0.0000  4 Ac 3.66, 4 Th 3.66, 4 Gd 3.70
Th 0.5000 0.5000 0.5000  8 Gd 3.66, 4 Ac 3.70

(8)
First-principles (PBE-GGA) data for Fe2AsOs after structural relaxation, as listed in Alexandria via LeMat-Bulk.

Computed properties:
magnetization	4.81	μB per formula unit
total energy	-7.90	eV per atom
formation enthalpy at 0 K	304.3	meV/atom
space group	P4/mmm (123)

Cell: 4.1750 4.1750 3.0328 Å, 90.00 90.00 90.00°
With the nearest neighbours (Å) after each atom.
Sites, in units of the cell vectors:
Fe 0.5000 0.5000 0.0000  4 As 2.58, 4 Os 2.58
Fe 0.0000 0.0000 0.0000  4 As 2.58, 4 Os 2.58
As 0.0000 0.5000 0.5000  8 Fe 2.58
Os 0.5000 0.0000 0.5000  8 Fe 2.58

(9)
First-principles (PBE-GGA) data for Na2Y2IO6 after structural relaxation, as listed in Alexandria via LeMat-Bulk.

Computed properties:
uncorrected formation energy	-1944	meV/atom
magnetization	1.01	μB per formula unit
total energy	-6.20	eV per atom
space group	C2/m (12)

Cell: 6.1154 6.1154 5.8265 Å, 97.57 97.57 122.06°
With the nearest neighbours (Å) after each atom.
Sites, in units of the cell vectors:
O 0.7424 0.7424 0.6888  1 I 2.11, 2 Y 2.36
O 0.2576 0.2576 0.3112  1 I 2.11, 2 Y 2.36
O 0.6041 0.9618 0.2960  2 Y 2.24-2.31, 1 Na 2.42, 1 I 2.43
O 0.9618 0.6041 0.2960  2 Y 2.24-2.31, 1 Na 2.42, 1 I 2.43
O 0.3959 0.0382 0.7040  2 Y 2.24-2.31, 1 Na 2.42, 1 I 2.43
O 0.0382 0.3959 0.7040  2 Y 2.24-2.31, 1 Na 2.42, 1 I 2.43
Y 0.6655 0.3345 0.5000  6 O 2.24-2.36
Y 0.3345 0.6655 0.5000  6 O 2.24-2.36
Na 0.1616 0.8384 0.0000  6 O 2.42-2.67
Na 0.8384 0.1616 0.0000  6 O 2.42-2.67
I 0.0000 0.0000 0.5000  2 O 2.11

(10)
First-principles (PBE-GGA) data for Ce3GaBr3 after structural relaxation, as listed in Alexandria via LeMat-Bulk.

Computed properties:
uncorrected formation energy	-1171	meV/atom
magnetization	3.07	μB per formula unit
total energy	-4.86	eV per atom
space group	I4_132 (214)

Cell: 10.4275 10.4275 10.4275 Å, 109.47 109.47 109.47°
With the nearest neighbours (Å) after each atom.
Sites, in units of the cell vectors:
Ga 0.5000 0.2500 0.5000  6 Ce 2.94
Ga 0.7500 0.2500 0.2500  6 Ce 2.94
Ga 0.7500 0.5000 0.0000  6 Ce 2.94
Ga 0.0000 0.0000 0.2500  6 Ce 2.94
Ce 0.2500 0.2442 0.2558  2 Ga 2.94, 4 Br 3.08
Ce 0.9942 0.7500 0.0058  2 Ga 2.94, 4 Br 3.08
Ce 0.7442 0.2558 0.7500  2 Ga 2.94, 4 Br 3.08
Ce 0.9885 0.4942 0.2442  2 Ga 2.94, 4 Br 3.08
Ce 0.5115 0.2558 0.0058  2 Ga 2.94, 4 Br 3.08
Ce 0.5058 0.4942 0.7500  2 Ga 2.94, 4 Br 3.08
Ce 0.2500 0.0058 0.4942  2 Ga 2.94, 4 Br 3.08
Ce 0.7558 0.7500 0.2442  2 Ga 2.94, 4 Br 3.08
Ce 0.7558 0.0058 0.0115  2 Ga 2.94, 4 Br 3.08
Ce 0.7442 0.4885 0.4942  2 Ga 2.94, 4 Br 3.08
Ce 0.5058 0.0115 0.2558  2 Ga 2.94, 4 Br 3.08
Ce 0.9942 0.2442 0.4885  2 Ga 2.94, 4 Br 3.08
Br 0.4890 0.7445 0.9945  4 Ce 3.08
Br 0.0055 0.7555 0.5110  4 Ce 3.08
Br 0.2445 0.2500 0.7555  4 Ce 3.08
Br 0.4945 0.9890 0.7445  4 Ce 3.08
Br 0.4945 0.5055 0.2500  4 Ce 3.08
Br 0.0110 0.5055 0.7555  4 Ce 3.08
Br 0.0055 0.2500 0.9945  4 Ce 3.08
Br 0.2445 0.9945 0.9890  4 Ce 3.08
Br 0.7500 0.9945 0.5055  4 Ce 3.08
Br 0.2555 0.5110 0.5055  4 Ce 3.08
Br 0.2555 0.7445 0.2500  4 Ce 3.08
Br 0.7500 0.7555 0.7445  4 Ce 3.08

(11)
First-principles (PBE-GGA) data for Ti2Nb2Se7 after structural relaxation, as listed in Alexandria via LeMat-Bulk.

Computed properties:
uncorrected formation energy	-745	meV/atom
magnetization	0.00	μB per formula unit
total energy	-6.23	eV per atom
space group	C2/m (12)

Cell: 7.0109 6.6373 6.6373 Å, 110.93 91.23 91.23°
With the nearest neighbours (Å) after each atom.
Sites, in units of the cell vectors:
Se 0.7724 0.6177 0.6177  2 Nb 2.56, 2 Ti 2.61-2.63
Se 0.3021 0.9662 0.5808  1 Ti 2.44, 1 Nb 2.60
Se 0.2276 0.3823 0.3823  2 Nb 2.56, 2 Ti 2.61-2.63
Se 0.3021 0.5808 0.9662  1 Ti 2.44, 1 Nb 2.60
Se 0.0000 0.0000 0.0000  2 Ti 2.37
Se 0.6979 0.0338 0.4192  1 Ti 2.44, 1 Nb 2.60
Se 0.6979 0.4192 0.0338  1 Ti 2.44, 1 Nb 2.60
Ti 0.8637 0.2840 0.2840  5 Se 2.37-2.63
Ti 0.1363 0.7160 0.7160  5 Se 2.37-2.63
Nb 0.5000 0.3632 0.6368  6 Se 2.56-2.85
Nb 0.5000 0.6368 0.3632  6 Se 2.56-2.85